Here is a relaxed structure of Gd2MgPd from the Alexandria database. Energies are from PBE.

Output
E_form, meV/atom: -302
Total energy, eV/atom: -9.04
Excess energy over the best structure of this formula in the dataset, meV per atom: 159.8

Cell: 3.8119 3.8119 26.8518 Å, 90.00 90.00 120.00°
Space group R-3m (No. 166, hexagonal axes)
Symmetry-distinct sites (fractional):
Gd 0.0000 0.0000 0.2347 [6 per cell]
Mg 0.0000 0.0000 0.0000 [3 per cell]
Pd 0.0000 0.0000 0.5000 [3 per cell]

=====

Here is a relaxed structure of Sb2PtS from the Alexandria database. Energies are from PBE.

Output
Total energy, eV/atom: -4.68

Cell: 6.060 6.060 12.552 Å, 90.00 90.00 90.00°
Space group I-42d (No. 122)
Symmetry-distinct sites (fractional):
Sb 0.223 0.250 0.125 [8 per cell]
Pt 0.000 0.000 0.000 [4 per cell]
S 0.000 0.000 0.500 [4 per cell]